# 1
Density functional theory data (PBEsol) for crystalline CdReAs at its relaxed geometry.

Lattice parameters (Å, degrees): 3.0095 3.0095 6.7688 90.00 90.00 120.00
Closest atoms and distances in Å follow each position.
Sites, in units of the cell vectors:
Cd (0.3333, 0.6667, 0.6485)  3 Re 2.90, 6 Cd 3.01, 3 As 3.21
As (0.0000, 0.0000, 0.0468)  3 Re 2.46
Re (0.6667, 0.3333, 0.3046)  3 As 2.46

Output
**Spin magnetization**: 0.00 μB per cell
**Formation enthalpy at 0 K**: 0.22 eV per atom
**Total energy**: -18.97 eV per formula unit

# 2
Density functional theory data (PBEsol) for crystalline Cd2AsRh at its relaxed geometry.

Lattice parameters (Å, degrees): 2.9941 2.9941 8.1512 90.00 90.00 90.00
Closest atoms and distances in Å follow each position.
Sites, in units of the cell vectors:
Rh (0.0000, 0.0000, 0.5249)  4 As 2.51
Cd (0.5000, 0.5000, 0.2839)  4 Rh 2.89, 8 Cd 2.99-3.14
Cd (0.0000, 0.0000, 0.0002)  8 Cd 2.99-3.14, 4 As 3.29
As (0.5000, 0.5000, 0.6909)  4 Rh 2.51

Output
**Spin magnetization**: 0.00 μB per cell
**Formation enthalpy at 0 K**: -0.16 eV per atom
**Total energy**: -16.29 eV per formula unit

# 3
Density functional theory data (PBEsol) for crystalline CdAsRh at its relaxed geometry.

Lattice parameters (Å, degrees): 3.1545 3.1545 6.1937 90.00 90.00 120.00
Closest atoms and distances in Å follow each position.
Sites, in units of the cell vectors:
Cd (0.3333, 0.6667, 0.6461)  3 Rh 2.80, 3 As 3.10
As (0.0000, 0.0000, 0.0519)  3 Rh 2.39
Rh (0.6667, 0.3333, 0.3020)  3 As 2.39

Output
**Spin magnetization**: 0.00 μB per cell
**Formation enthalpy at 0 K**: -0.21 eV per atom
**Total energy**: -15.08 eV per formula unit

# 4
Density functional theory data (PBEsol) for crystalline Cd2AsRh at its relaxed geometry.

Lattice parameters (Å, degrees): 3.1402 3.1402 8.8704 79.80 79.80 60.00
Closest atoms and distances in Å follow each position.
Sites, in units of the cell vectors:
Cd (0.9973, 0.9973, 0.0080)  9 Cd 3.08-3.14, 3 As 3.08
Cd (0.7594, 0.7594, 0.7219)  3 Rh 2.81, 9 Cd 3.08-3.14
As (0.2349, 0.2349, 0.2954)  3 Rh 2.39
Rh (0.5084, 0.5084, 0.4747)  3 As 2.39

Output
**Spin magnetization**: 0.00 μB per cell
**Formation enthalpy at 0 K**: -0.15 eV per atom
**Total energy**: -16.22 eV per formula unit

# 5
Density functional theory data (PBEsol) for crystalline Cd2AsRh at its relaxed geometry.

Lattice parameters (Å, degrees): 2.9807 2.9807 8.1835 90.00 90.00 90.00
Closest atoms and distances in Å follow each position.
Sites, in units of the cell vectors:
Cd (0.0000, 0.0000, 0.2195)  4 Rh 2.77, 4 Cd 2.98
Cd (0.0000, 0.0000, 0.7805)  4 Rh 2.77, 4 Cd 2.98
Rh (0.5000, 0.5000, 0.0000)  8 Cd 2.77, 4 Rh 2.98
As (0.5000, 0.5000, 0.5000)  4 As 2.98, 8 Cd 3.12

Output
**Spin magnetization**: 0.00 μB per cell
**Formation enthalpy at 0 K**: 0.08 eV per atom
**Total energy**: -15.33 eV per formula unit

# 6
Density functional theory data (PBEsol) for crystalline CdAsRh at its relaxed geometry.

Lattice parameters (Å, degrees): 2.9878 2.9878 6.1633 104.03 104.03 90.00
Closest atoms and distances in Å follow each position.
Sites, in units of the cell vectors:
As (0.9686, 0.9686, 0.9371)  4 Rh 2.52
Rh (0.3498, 0.3498, 0.6997)  4 As 2.52
Cd (0.6816, 0.6816, 0.3632)  4 Rh 2.87, 4 Cd 2.99

Output
**Spin magnetization**: 0.00 μB per cell
**Formation enthalpy at 0 K**: -0.23 eV per atom
**Total energy**: -15.14 eV per formula unit